Density functional theory data (PBE) for a relaxed SmDyYCu crystal.

## Properties
- DOS(E_F): 4.41 states/eV/cell
- Symmetry: P4mm, No. 99
- VASP energy: -0.18623 hartree per atom
- Formation energy: -0.097 eV/atom
- Total magnetic moment: 0.00 Bohr magnetons per cell

```
4
Lattice="3.5179 0.0000 0.0000 0.0000 3.5179 0.0000 0.0000 0.0000 8.7181" Properties=species:S:1:pos:R:3 pbc="T T T"
Sm 0.0000 0.0000 0.0000
Dy 1.7590 1.7590 6.0667
Y 1.7590 1.7590 2.6779
Cu 0.0000 0.0000 4.4017
```